Ti2Co3Si at its PBEsol-relaxed geometry, computed with SCAN.

Properties
total moment	0.00	μB per cell
E_tot	-16.2113	eV per atom
V	11.9	A^3/atom
space group	No. 194
D(E_F)	5.30	states/eV/f.u.

Cell lengths 4.758, 4.758, 7.274 Å; angles 90.00, 90.00, 120.00 degrees
Fractional coordinates of all 12 atoms:
Co: 0.657 0.829 0.250
Co: 0.171 0.343 0.250
Co: 0.343 0.171 0.750
Co: 0.829 0.657 0.750
Co: 0.171 0.829 0.250
Co: 0.829 0.171 0.750
Ti: 0.667 0.333 0.061
Ti: 0.667 0.333 0.439
Ti: 0.333 0.667 0.561
Ti: 0.333 0.667 0.939
Si: 0.000 0.000 0.500
Si: 0.000 0.000 0.000